Entry 1:
Below is a crystal of Li2TeW relaxed with PBEsol, with properties calculated at the meta-GGA SCAN level.

The structure in POSCAR format:
```
Li2TeW
1.0
2.745 0.000 0.000
0.000 4.793 0.000
0.000 0.000 5.291
Li Te W
2 1 1
Cartesian
0.000 0.000 0.000
0.000 2.396 1.407
1.373 0.000 2.739
1.373 2.396 4.081
```

Computed properties:
As for the uncorrected formation energy: 392 meV per atom. The calculation puts the final energy at -27.538 eV/atom.



Entry 2:
Below is a crystal of LiY2Te2 relaxed with PBEsol, with properties calculated at the meta-GGA SCAN level.

The structure in POSCAR format:
```
LiY2Te2
1.0
8.018 0.000 0.000
0.000 8.018 0.000
0.000 0.000 3.996
Li Y Te
2 4 4
Cartesian
0.000 0.000 0.000
4.009 4.009 0.000
1.195 2.814 1.998
2.814 6.824 1.998
5.204 1.195 1.998
6.824 5.204 1.998
1.218 5.227 0.000
2.791 1.218 0.000
5.227 6.801 0.000
6.801 2.791 0.000
```

Computed properties:
As for the uncorrected formation energy: -1141 meV per atom. The calculation puts the final energy at -27.657 eV/atom.



Entry 3:
Below is a crystal of LiY4Te relaxed with PBEsol, with properties calculated at the meta-GGA SCAN level.

The structure in POSCAR format:
```
LiY4Te
1.0
0.000 4.485 4.485
4.485 0.000 4.485
4.485 4.485 0.000
Li Y Te
1 4 1
Cartesian
0.000 0.000 0.000
3.364 3.364 3.364
5.607 5.607 3.364
5.607 3.364 5.607
3.364 5.607 5.607
6.728 6.728 6.728
```

Computed properties:
As for the uncorrected formation energy: 262 meV per atom. The calculation puts the final energy at -24.907 eV/atom.



Entry 4:
Below is a crystal of Li2ZnTe relaxed with PBEsol, with properties calculated at the meta-GGA SCAN level.

The structure in POSCAR format:
```
Li2ZnTe
1.0
3.140 0.000 0.000
0.000 3.909 0.000
0.000 0.000 6.134
Li Zn Te
2 1 1
Cartesian
0.000 0.000 1.488
0.000 0.000 4.646
1.570 1.954 0.000
1.570 1.954 3.067
```

Computed properties:
As for the uncorrected formation energy: -398 meV per atom. The calculation puts the final energy at -14.284 eV/atom. As for the polymorph energy (0 for the lowest one): 78 meV per atom.



Entry 5:
Below is a crystal of Li2ZnTe relaxed with PBEsol, with properties calculated at the meta-GGA SCAN level.

The structure in POSCAR format:
```
Li2ZnTe
1.0
6.900 0.000 0.000
0.000 6.900 0.000
0.000 0.000 6.900
Li Zn Te
8 4 4
Cartesian
0.000 0.000 0.000
0.000 3.450 3.450
1.725 1.725 1.725
1.725 5.175 5.175
3.450 0.000 3.450
3.450 3.450 0.000
5.175 1.725 5.175
5.175 5.175 1.725
1.725 1.725 5.175
1.725 5.175 1.725
5.175 1.725 1.725
5.175 5.175 5.175
0.000 0.000 3.450
0.000 3.450 0.000
3.450 0.000 0.000
3.450 3.450 3.450
```

Computed properties:
As for the uncorrected formation energy: -246 meV per atom. The calculation puts the final energy at -14.133 eV/atom. As for the polymorph energy (0 for the lowest one): 230 meV per atom.



Entry 6:
Below is a crystal of Li2ZnTe relaxed with PBEsol, with properties calculated at the meta-GGA SCAN level.

The structure in POSCAR format:
```
Li2ZnTe
1.0
4.061 0.000 0.000
0.000 4.022 0.000
0.000 0.000 10.022
Li Zn Te
4 2 2
Cartesian
0.000 0.000 0.000
0.000 2.011 5.011
2.030 0.000 2.709
2.030 2.011 7.720
2.030 0.000 5.339
2.030 2.011 0.328
0.000 0.000 7.200
0.000 2.011 2.189
```

Computed properties:
As for the uncorrected formation energy: -476 meV per atom. The calculation puts the final energy at -14.363 eV/atom. As for the polymorph energy (0 for the lowest one): 0 meV per atom.



Entry 7:
Below is a crystal of LiTi3Tl relaxed with PBEsol, with properties calculated at the meta-GGA SCAN level.

The structure in POSCAR format:
```
LiTi3Tl
1.0
4.421 0.000 0.000
0.000 4.421 0.000
0.000 0.000 4.421
Li Ti Tl
1 3 1
Cartesian
0.000 0.000 0.000
0.000 0.000 2.210
0.000 2.210 0.000
2.210 0.000 0.000
2.210 2.210 2.210
```

Computed properties:
The calculation puts the formation enthalpy at 0 K at 0.639 eV per atom. The calculation puts the final energy at -23.929 eV/atom.



Entry 8:
Below is a crystal of LiTiW3 relaxed with PBEsol, with properties calculated at the meta-GGA SCAN level.

The structure in POSCAR format:
```
LiTiW3
1.0
4.225 0.000 0.000
0.000 4.225 0.000
0.000 0.000 4.225
Li Ti W
1 1 3
Cartesian
0.000 0.000 0.000
2.112 2.112 2.112
0.000 0.000 2.112
0.000 2.112 0.000
2.112 0.000 0.000
```

Computed properties:
The calculation puts the formation enthalpy at 0 K at 1.421 eV per atom. The calculation puts the final energy at -44.076 eV/atom.



Entry 9:
Below is a crystal of LiTiZn2 relaxed with PBEsol, with properties calculated at the meta-GGA SCAN level.

The structure in POSCAR format:
```
LiTiZn2
1.0
6.108 0.000 0.000
0.000 6.108 0.000
0.000 0.000 6.108
Li Ti Zn
4 4 8
Cartesian
0.000 0.000 0.000
0.000 3.054 3.054
3.054 0.000 3.054
3.054 3.054 0.000
0.000 0.000 3.054
0.000 3.054 0.000
3.054 0.000 0.000
3.054 3.054 3.054
1.527 1.527 1.527
1.527 1.527 4.581
1.527 4.581 1.527
1.527 4.581 4.581
4.581 1.527 1.527
4.581 1.527 4.581
4.581 4.581 1.527
4.581 4.581 4.581
```

Computed properties:
The calculation puts the formation enthalpy at 0 K at -0.184 eV per atom. The calculation puts the final energy at -11.546 eV/atom.



Entry 10:
Below is a crystal of LiTi3Zn relaxed with PBEsol, with properties calculated at the meta-GGA SCAN level.

The structure in POSCAR format:
```
LiTi3Zn
1.0
4.728 0.000 0.000
0.000 4.728 0.000
0.000 0.000 4.728
Li Ti Zn
1 3 1
Cartesian
0.000 0.000 0.000
0.000 2.364 2.364
2.364 0.000 2.364
2.364 2.364 0.000
2.364 2.364 2.364
```

Computed properties:
The calculation puts the formation enthalpy at 0 K at 0.815 eV per atom. The calculation puts the final energy at -11.984 eV/atom.



Entry 11:
Below is a crystal of LiZrTi2 relaxed with PBEsol, with properties calculated at the meta-GGA SCAN level.

The structure in POSCAR format:
```
LiZrTi2
1.0
3.807 0.000 0.000
0.000 3.807 0.000
0.000 0.000 19.404
Li Zr Ti
4 4 8
Cartesian
0.000 0.000 0.000
0.000 1.903 4.851
1.903 0.000 14.553
1.903 1.903 9.702
0.000 0.000 9.702
0.000 1.903 14.553
1.903 0.000 4.851
1.903 1.903 0.000
0.948 0.952 2.425
0.952 2.851 7.276
0.952 2.859 16.978
0.955 0.952 12.127
2.851 2.855 12.127
2.855 0.948 16.978
2.855 0.955 7.276
2.859 2.855 2.425
```

Computed properties:
The calculation puts the formation enthalpy at 0 K at 0.490 eV per atom. The calculation puts the final energy at -15.797 eV/atom. As for the polymorph energy (0 for the lowest one): 62 meV per atom.



Entry 12:
Below is a crystal of LiZrTi2 relaxed with PBEsol, with properties calculated at the meta-GGA SCAN level.

The structure in POSCAR format:
```
LiZrTi2
1.0
6.523 0.000 0.000
0.000 6.523 0.000
0.000 0.000 6.523
Li Zr Ti
4 4 8
Cartesian
0.000 0.000 0.000
0.000 3.261 3.261
3.261 0.000 3.261
3.261 3.261 0.000
0.000 0.000 3.261
0.000 3.261 0.000
3.261 0.000 0.000
3.261 3.261 3.261
1.631 1.631 1.631
1.631 1.631 4.892
1.631 4.892 1.631
1.631 4.892 4.892
4.892 1.631 1.631
4.892 1.631 4.892
4.892 4.892 1.631
4.892 4.892 4.892
```

Computed properties:
The calculation puts the formation enthalpy at 0 K at 0.428 eV per atom. The calculation puts the final energy at -15.859 eV/atom. As for the polymorph energy (0 for the lowest one): 0 meV per atom.



Entry 13:
Below is a crystal of Li3ZrTi relaxed with PBEsol, with properties calculated at the meta-GGA SCAN level.

The structure in POSCAR format:
```
Li3ZrTi
1.0
4.571 0.000 0.000
0.000 4.571 0.000
0.000 0.000 4.571
Li Zr Ti
3 1 1
Cartesian
0.000 0.000 2.286
0.000 2.286 0.000
2.286 0.000 0.000
2.286 2.286 2.286
0.000 0.000 0.000
```

Computed properties:
The calculation puts the formation enthalpy at 0 K at 1.044 eV per atom. The calculation puts the final energy at -9.736 eV/atom.



Entry 14:
Below is a crystal of LiTl3 relaxed with PBEsol, with properties calculated at the meta-GGA SCAN level.

The structure in POSCAR format:
```
LiTl3
1.0
6.587 0.000 0.000
0.000 8.990 0.000
0.000 0.000 3.450
Li Tl
2 6
Cartesian
0.000 0.000 0.000
3.294 4.495 0.000
0.000 4.495 0.000
1.647 2.247 1.725
1.647 6.742 1.725
3.294 0.000 0.000
4.941 2.247 1.725
4.941 6.742 1.725
```

Computed properties:
The calculation puts the formation enthalpy at 0 K at -0.084 eV per atom. The calculation puts the final energy at -54.950 eV/atom.



Entry 15:
Below is a crystal of LiTl3 relaxed with PBEsol, with properties calculated at the meta-GGA SCAN level.

The structure in POSCAR format:
```
LiTl3
1.0
6.651 0.000 0.000
-3.325 5.760 0.000
0.000 0.000 10.518
Li Tl
4 12
Cartesian
0.000 0.000 0.000
0.000 0.000 5.259
0.000 3.840 2.629
3.325 1.920 7.888
-1.663 2.880 0.000
-1.663 2.880 5.259
0.000 1.893 7.888
-1.686 4.813 7.888
1.639 0.946 2.629
3.325 0.000 0.000
3.325 0.000 5.259
1.663 2.880 0.000
1.663 2.880 5.259
1.686 4.813 7.888
5.011 0.946 2.629
3.325 3.867 2.629
```

Computed properties:
The calculation puts the formation enthalpy at 0 K at -0.101 eV per atom. The calculation puts the final energy at -54.967 eV/atom.



Entry 16:
Below is a crystal of LiTl3 relaxed with PBEsol, with properties calculated at the meta-GGA SCAN level.

The structure in POSCAR format:
```
LiTl3
1.0
7.414 0.000 0.000
0.000 7.414 0.000
0.000 0.000 7.414
Li Tl
4 12
Cartesian
0.000 0.000 0.000
0.000 3.707 3.707
3.707 0.000 3.707
3.707 3.707 0.000
0.000 0.000 3.707
0.000 3.707 0.000
1.854 1.854 1.854
1.854 1.854 5.561
1.854 5.561 1.854
1.854 5.561 5.561
3.707 0.000 0.000
3.707 3.707 3.707
5.561 1.854 1.854
5.561 1.854 5.561
5.561 5.561 1.854
5.561 5.561 5.561
```

Computed properties:
The calculation puts the formation enthalpy at 0 K at -0.072 eV per atom. The calculation puts the final energy at -54.938 eV/atom.



Entry 17:
Below is a crystal of Li3Tl relaxed with PBEsol, with properties calculated at the meta-GGA SCAN level.

The structure in POSCAR format:
```
Li3Tl
1.0
4.656 0.000 0.000
0.000 9.124 0.000
0.000 0.000 6.821
Li Tl
12 4
Cartesian
1.158 2.281 1.031
1.164 0.252 5.979
1.164 4.309 5.979
1.164 4.814 2.569
1.164 8.871 2.569
1.170 6.843 4.442
3.486 2.281 2.380
3.492 0.252 4.253
3.492 4.309 4.253
3.492 4.814 0.842
3.492 8.871 0.842
3.498 6.843 5.790
1.160 2.281 3.985
1.168 6.843 0.574
3.488 2.281 6.247
3.496 6.843 2.836
```

Computed properties:
The calculation puts the formation enthalpy at 0 K at -0.296 eV per atom. The calculation puts the final energy at -20.178 eV/atom.



Entry 18:
Below is a crystal of LiTl3 relaxed with PBEsol, with properties calculated at the meta-GGA SCAN level.

The structure in POSCAR format:
```
LiTl3
1.0
10.452 0.000 0.000
-5.226 9.052 0.000
0.000 0.000 3.300
Li Tl
3 9
Cartesian
0.000 0.000 0.000
0.000 6.035 2.200
5.226 3.017 1.100
-2.613 4.526 0.000
0.000 3.017 1.100
-2.613 7.543 1.100
2.613 1.509 2.200
5.226 0.000 0.000
2.613 4.526 0.000
2.613 7.543 1.100
7.839 1.509 2.200
5.226 6.035 2.200
```

Computed properties:
The calculation puts the formation enthalpy at 0 K at -0.080 eV per atom. The calculation puts the final energy at -54.946 eV/atom.



Entry 19:
Below is a crystal of Li3Tl relaxed with PBEsol, with properties calculated at the meta-GGA SCAN level.

The structure in POSCAR format:
```
Li3Tl
1.0
9.118 0.000 0.000
-4.559 7.896 0.000
0.000 0.000 3.159
Li Tl
9 3
Cartesian
-2.279 3.948 0.000
0.000 2.632 1.053
-2.279 6.580 1.053
2.279 1.316 2.106
4.559 0.000 0.000
2.279 3.948 0.000
2.279 6.580 1.053
6.838 1.316 2.106
4.559 5.264 2.106
0.000 0.000 0.000
0.000 5.264 2.106
4.559 2.632 1.053
```

Computed properties:
The calculation puts the formation enthalpy at 0 K at -0.243 eV per atom. The calculation puts the final energy at -20.125 eV/atom.



Entry 20:
Below is a crystal of LiTl3 relaxed with PBEsol, with properties calculated at the meta-GGA SCAN level.

The structure in POSCAR format:
```
LiTl3
1.0
4.589 0.000 0.000
0.000 4.589 0.000
0.000 0.000 9.570
Li Tl
2 6
Cartesian
0.000 0.000 0.000
2.295 2.295 4.785
0.000 0.000 4.785
0.000 2.295 2.392
0.000 2.295 7.177
2.295 0.000 2.392
2.295 0.000 7.177
2.295 2.295 0.000
```

Computed properties:
The calculation puts the formation enthalpy at 0 K at -0.100 eV per atom. The calculation puts the final energy at -54.966 eV/atom.